(1)
# Pr4Rh2I PBE-GGA relaxed
# energy relative to the elements, uncorrected: -0.713 eV per atom
# total moment: 0.0 μB/f.u.
data_Pr4Rh2I
_chemical_formula_sum 'Pr12 Rh6 I3'
_cell_length_a 4.2176
_cell_length_b 4.2176
_cell_length_c 43.4348
_cell_angle_alpha 90.00
_cell_angle_beta 90.00
_cell_angle_gamma 120.00
_symmetry_space_group_name_H-M 'R -3 m'
_symmetry_Int_Tables_number 166
_symmetry_space_group_name_Hall '-R 3 2"'
loop_
_atom_site_label
_atom_site_type_symbol
_atom_site_fract_x
_atom_site_fract_y
_atom_site_fract_z
Pr1 Pr 0.0000 0.0000 0.1287
Pr2 Pr 0.0000 0.0000 0.2740
Rh1 Rh 0.0000 0.0000 0.4278
I1 I 0.0000 0.0000 0.0000

---

(2)
# ScOs PBE-GGA relaxed
# total moment: 0.0 μB/f.u.
# formation energy from the elements: -0.1187 eV per atom
data_ScOs
_chemical_formula_sum 'Sc8 Os8'
_cell_length_a 8.251
_cell_length_b 8.251
_cell_length_c 4.425
_cell_angle_alpha 90.00
_cell_angle_beta 90.00
_cell_angle_gamma 90.00
_symmetry_space_group_name_H-M 'I 4/m m m'
_symmetry_Int_Tables_number 139
_symmetry_space_group_name_Hall '-I 4 2'
loop_
_atom_site_label
_atom_site_type_symbol
_atom_site_fract_x
_atom_site_fract_y
_atom_site_fract_z
Sc1 Sc 0.000 0.278 0.000
Os1 Os 0.154 0.154 0.500

---

(3)
# SrHoAg PBE-GGA relaxed
# E above lowest polymorph: 0 meV per atom
# total moment: 0.0 μB/f.u.
# formation energy from the elements: -0.1208 eV per atom
data_SrHoAg
_chemical_formula_sum 'Sr2 Ho2 Ag2'
_cell_length_a 3.777
_cell_length_b 3.777
_cell_length_c 13.347
_cell_angle_alpha 90.00
_cell_angle_beta 90.00
_cell_angle_gamma 90.00
_symmetry_space_group_name_H-M 'I 4 m m'
_symmetry_Int_Tables_number 107
_symmetry_space_group_name_Hall 'I 4 -2'
loop_
_atom_site_label
_atom_site_type_symbol
_atom_site_fract_x
_atom_site_fract_y
_atom_site_fract_z
Sr1 Sr 0.000 0.000 0.000
Ho1 Ho 0.000 0.000 0.276
Ag1 Ag 0.000 0.000 0.666

---

(4)
# NaSrBe2Ge PBE-GGA relaxed
# total moment: 0.0 μB/f.u.
# formation energy from the elements: 1.2372 eV per atom
data_NaSrBe2Ge
_chemical_formula_sum 'Na1 Sr1 Be2 Ge1'
_cell_length_a 4.755
_cell_length_b 4.755
_cell_length_c 5.506
_cell_angle_alpha 90.00
_cell_angle_beta 90.00
_cell_angle_gamma 90.00
_symmetry_space_group_name_H-M 'P 4/m m m'
_symmetry_Int_Tables_number 123
_symmetry_space_group_name_Hall '-P 4 2'
loop_
_atom_site_label
_atom_site_type_symbol
_atom_site_fract_x
_atom_site_fract_y
_atom_site_fract_z
Na1 Na 0.000 0.000 0.000
Sr1 Sr 0.000 0.000 0.500
Be1 Be 0.000 0.500 0.000
Ge1 Ge 0.500 0.500 0.500

---

(5)
# TlOs2Pt PBE-GGA relaxed
# E above lowest polymorph: 363 meV per atom
# total moment: 0.6 μB/f.u.
# formation energy from the elements: 0.7490 eV per atom
data_TlOs2Pt
_chemical_formula_sum 'Tl2 Os4 Pt2'
_cell_length_a 2.830
_cell_length_b 4.933
_cell_length_c 9.965
_cell_angle_alpha 90.00
_cell_angle_beta 90.00
_cell_angle_gamma 90.00
_symmetry_space_group_name_H-M 'C m m 2'
_symmetry_Int_Tables_number 35
loop_
_symmetry_equiv_pos_as_xyz
'x,y,z'
'-x,-y,z'
'-x,y,z'
'x,-y,z'
'x+1/2,y+1/2,z'
'-x+1/2,-y+1/2,z'
'-x+1/2,y+1/2,z'
'x+1/2,-y+1/2,z'
loop_
_atom_site_label
_atom_site_type_symbol
_atom_site_fract_x
_atom_site_fract_y
_atom_site_fract_z
Tl1 Tl 0.000 0.000 0.000
Os1 Os 0.000 0.000 0.493
Os2 Os 0.000 0.500 0.278
Pt1 Pt 0.000 0.500 0.730

---

(6)
# Pm4ZnCBr2 PBE-GGA relaxed
# energy relative to the elements, uncorrected: -0.737 eV per atom
# total moment: 0.0 μB/f.u.
data_Pm4ZnCBr2
_chemical_formula_sum 'Pm4 Zn1 C1 Br2'
_cell_length_a 7.217
_cell_length_b 3.907
_cell_length_c 7.670
_cell_angle_alpha 90.00
_cell_angle_beta 106.47
_cell_angle_gamma 90.00
_symmetry_space_group_name_H-M 'P 1 2/m 1'
_symmetry_Int_Tables_number 10
loop_
_symmetry_equiv_pos_as_xyz
'x,y,z'
'-x,-y,-z'
'-x,y,-z'
'x,-y,z'
loop_
_atom_site_label
_atom_site_type_symbol
_atom_site_fract_x
_atom_site_fract_y
_atom_site_fract_z
Pm1 Pm 0.201 0.000 0.186
Pm2 Pm 0.230 0.500 0.793
Zn1 Zn 0.500 0.000 0.000
C1 C 0.000 0.500 0.000
Br1 Br 0.000 0.000 0.500
Br2 Br 0.500 0.500 0.500

---

(7)
# Ca2LaNi PBE-GGA relaxed
# E above lowest polymorph: 82 meV per atom
# total moment: 0.0 μB/f.u.
# formation energy from the elements: -0.0385 eV per atom
data_Ca2LaNi
_chemical_formula_sum 'Ca4 La2 Ni2'
_cell_length_a 3.694
_cell_length_b 5.830
_cell_length_c 11.388
_cell_angle_alpha 90.00
_cell_angle_beta 90.00
_cell_angle_gamma 90.00
_symmetry_space_group_name_H-M 'I m m 2'
_symmetry_Int_Tables_number 44
loop_
_symmetry_equiv_pos_as_xyz
'x,y,z'
'-x,-y,z'
'-x,y,z'
'x,-y,z'
'x+1/2,y+1/2,z+1/2'
'-x+1/2,-y+1/2,z+1/2'
'-x+1/2,y+1/2,z+1/2'
'x+1/2,-y+1/2,z+1/2'
loop_
_atom_site_label
_atom_site_type_symbol
_atom_site_fract_x
_atom_site_fract_y
_atom_site_fract_z
Ca1 Ca 0.000 0.000 0.000
Ca2 Ca 0.000 0.500 0.183
La1 La 0.000 0.000 0.363
Ni1 Ni 0.000 0.500 0.696

---

(8)
# Y4CdGa2 PBE-GGA relaxed
# E above lowest polymorph: 0 meV per atom
# total moment: 0.0 μB/f.u.
# formation energy from the elements: -0.4060 eV per atom
data_Y4CdGa2
_chemical_formula_sum 'Y12 Cd3 Ga6'
_cell_length_a 5.0880
_cell_length_b 5.0880
_cell_length_c 24.5866
_cell_angle_alpha 90.00
_cell_angle_beta 90.00
_cell_angle_gamma 120.00
_symmetry_space_group_name_H-M 'R -3 m'
_symmetry_Int_Tables_number 166
_symmetry_space_group_name_Hall '-R 3 2"'
loop_
_atom_site_label
_atom_site_type_symbol
_atom_site_fract_x
_atom_site_fract_y
_atom_site_fract_z
Y1 Y 0.0000 0.0000 0.1173
Y2 Y 0.0000 0.0000 0.3698
Cd1 Cd 0.0000 0.0000 0.5000
Ga1 Ga 0.0000 0.0000 0.2483